1.
## LaBe2InS (PBE-GGA)

Data for crystalline LaBe2InS at its relaxed geometry.

a b c (Å): 4.484 5.384 4.484
angles (deg): 90.00 90.00 90.00
Atoms (fractional coordinates):
La  0.000  0.500  0.000
In  0.500  0.500  0.500
S  0.000  0.000  0.000
Be  0.000  0.000  0.500
Be  0.500  0.000  0.000

Results
**Magnetic moment**: 0.00 μB per cell
**SG**: P4/mmm
**Crystal system**: tetragonal
**E_form (uncorrected)**: 0.124 eV/atom

2.
## Al3Ag4 (PBE-GGA)

Data for crystalline Al3Ag4 at its relaxed geometry.

a b c (Å): 5.123 4.893 4.982
angles (deg): 99.12 102.18 98.53
Atoms (fractional coordinates):
Al  0.434  0.866  0.714
Al  0.857  0.714  0.429
Ag  0.571  0.124  0.288
Ag  0.144  0.305  0.569
Ag  0.707  0.437  0.872
Ag  0.007  0.992  0.985
Al  0.280  0.562  0.144

Results
**Energy above the most stable polymorph in this dataset**: 0.012 eV/atom
**Magnetic moment**: 0.00 μB per cell
**Formation enthalpy at 0 K**: -0.27 eV per formula unit
**SG**: P-1
**Crystal system**: triclinic

3.
## AcLa4Pm2 (PBE-GGA)

Data for crystalline AcLa4Pm2 at its relaxed geometry.

a b c (Å): 5.894 9.601 9.601
angles (deg): 90.00 90.00 90.00
Atoms (fractional coordinates):
Pm  0.000  0.805  0.195
La  0.000  0.618  0.880
La  0.500  0.620  0.118
Ac  0.000  0.500  0.500
La  0.000  0.382  0.120
La  0.500  0.380  0.882
Pm  0.000  0.195  0.805
Pm  0.500  0.305  0.305
La  0.500  0.118  0.620
La  0.500  0.882  0.380
Pm  0.500  0.695  0.695
La  0.000  0.120  0.382
La  0.000  0.880  0.618
Ac  0.500  0.000  0.000

Results
**Energy above the most stable polymorph in this dataset**: 0.072 eV/atom
**Magnetic moment**: 0.00 μB per cell
**Formation enthalpy at 0 K**: 1.36 eV per formula unit
**SG**: P4_2/mnm
**Crystal system**: tetragonal

4.
## SrPmBiPb (PBE-GGA)

Data for crystalline SrPmBiPb at its relaxed geometry.

a b c (Å): 5.722 5.722 5.722
angles (deg): 60.00 60.00 60.00
Atoms (fractional coordinates):
Pb  0.500  0.500  0.500
Sr  0.250  0.250  0.250
Pm  0.750  0.750  0.750
Bi  0.000  0.000  0.000

Results
**Magnetic moment**: 0.00 μB per cell
**Formation enthalpy at 0 K**: -2.08 eV per formula unit
**SG**: F-43m
**Crystal system**: cubic

Fermi-level density of states for every record listed, in sequence, given in states/eV per atom: 0.632, 0.196, 1.653, 1.212.